[1]
{"formula": "ZrMnCo2", "functional": "PBE-GGA", "state": "relaxed", "dos_ef_per_ev_fu": 2.991, "crystal_system": "orthorhombic", "delta_e_f_mev_per_atom": -64.1, "lattice_angstrom": [[3.279, 0.000, 0.000], [0.000, 4.046, 0.000], [0.000, 0.000, 8.541]], "species": ["Zr", "Zr", "Mn", "Mn", "Co", "Co", "Co", "Co"], "frac_coords": [[0.000, 0.000, 0.000], [0.500, 0.500, 0.500], [0.000, 0.500, 0.237], [0.500, 0.000, 0.737], [0.000, 0.000, 0.495], [0.000, 0.500, 0.755], [0.500, 0.000, 0.255], [0.500, 0.500, 0.995]]}



[2]
{"formula": "ZrMnCo2", "functional": "PBE-GGA", "state": "relaxed", "dos_ef_per_ev_fu": 3.633, "crystal_system": "tetragonal", "delta_e_f_mev_per_atom": 51.5, "lattice_angstrom": [[3.062, 0.000, 0.000], [0.000, 3.062, 0.000], [0.000, 0.000, 6.064]], "species": ["Zr", "Mn", "Co", "Co"], "frac_coords": [[0.000, 0.000, 0.000], [0.500, 0.500, 0.711], [0.000, 0.000, 0.489], [0.500, 0.500, 0.278]]}